1.
This record from Alexandria describes a geometry-optimized TaNi3H4 structure. The functional is PBE.

Values from the calculation:
DFT total energy = -5.382 eV/atom
symmetry = Amm2, No. 38

Structure (POSCAR):
```
TaNi3H4
1.0
2.812 0.000 0.000
0.000 4.730 -0.513
0.000 -0.122 4.757
H Ni Ta
4 3 1
direct
0.000 0.256 0.119
0.000 0.881 0.744
0.500 0.746 0.254
0.500 0.323 0.677
0.000 0.895 0.105
0.500 0.982 0.588
0.500 0.412 0.018
0.000 0.505 0.495
```

2.
This record from Alexandria describes a geometry-optimized Tb2ErPuAs4 structure. The functional is PBE.

Values from the calculation:
ΔH_f (0 K) = -1395 meV/atom
DFT total energy = -7.239 eV/atom
symmetry = P2/m, No. 10

Structure (POSCAR):
```
Tb2ErPuAs4
1.0
-2.725 2.183 2.207
-3.054 -6.051 2.215
5.173 1.856 4.551
As Tb Pu Er
4 2 1 1
direct
0.500 0.751 0.753
0.500 0.249 0.247
0.000 0.251 0.753
0.000 0.749 0.247
0.000 0.500 0.500
0.500 0.000 0.500
0.000 0.000 0.000
0.500 0.500 0.000
```

3.
This record from Alexandria describes a geometry-optimized TmSc2Pa structure. The functional is PBE.

Values from the calculation:
ΔH_f (0 K) = 153 meV/atom
DFT total energy = -6.504 eV/atom
energy relative to the lowest polymorph listed for this composition = 89 meV/atom
symmetry = P4/mmm, No. 123

Structure (POSCAR):
```
TmSc2Pa
1.0
4.661 0.000 0.000
0.000 4.681 0.000
0.000 0.000 4.681
Sc Tm Pa
2 1 1
direct
0.000 0.000 0.500
0.000 0.500 0.000
0.500 0.000 0.000
0.500 0.500 0.500
```

4.
This record from Alexandria describes a geometry-optimized SrZn2Co structure. The functional is PBE.

Values from the calculation:
ΔH_f (0 K) = 115 meV/atom
DFT total energy = -2.719 eV/atom
symmetry = P2/m, No. 10

Structure (POSCAR):
```
SrZn2Co
1.0
-0.999 -0.385 3.107
3.124 -0.630 0.926
4.156 6.159 2.100
Zn Co Sr
2 1 1
direct
0.000 0.925 0.074
0.000 0.575 0.426
0.500 0.250 0.250
0.500 0.750 0.750
```